First-principles (GGA-PBE) data for crystalline NaBP2S at its relaxed geometry, as listed in Alexandria via LeMat-Bulk.

The space group is P4/mmm, No. 123. As for the energy relative to the lowest polymorph listed for this composition: 1613 meV/atom. For the uncorrected formation energy, the calculation gives 2150 meV/atom.

a = 4.8770 Å, b = 4.8770 Å, c = 4.8414 Å
α = 90.00°, β = 90.00°, γ = 90.00°
Positions (direct):
Na 0.0000 0.0000 0.0000
B 0.5000 0.5000 0.5000
P 0.0000 0.5000 0.0000
P 0.5000 0.0000 0.0000
S 0.0000 0.0000 0.5000